DFT (PBE-GGA) results for crystalline AcSm5In6 at its relaxed geometry.

Lattice parameters (Å, degrees): 9.514 9.514 9.514 146.38 132.22 59.68
Fractional coordinates of all 12 atoms:
Ac: 0.000 0.000 0.000
Sm: 0.160 0.660 0.500
Sm: 0.330 0.330 0.000
Sm: 0.500 0.000 0.500
Sm: 0.670 0.670 0.000
Sm: 0.840 0.340 0.500
In: 0.089 0.829 0.260
In: 0.271 0.500 0.771
In: 0.432 0.171 0.260
In: 0.568 0.829 0.740
In: 0.729 0.500 0.229
In: 0.911 0.171 0.740

total magnetic moment	0.000	μB per atom
total energy	-49.74	eV for the cell shown
space group	Immm, No. 71
formation energy from the elements	-467	meV/atom